Arrangement i

DFT (PBEsol) results for a relaxed structure of Tb2Pb2O7. Values from VASP.

Values from the calculation:
Volume   13.75 Å³ per atom
Space-group type   Fd-3m, No. 227
M_tot   0.00 Bohr magnetons per cell

The structure in Quantum ESPRESSO input format:
```
&SYSTEM
  ibrav = 0, nat = 22, ntyp = 3
/
ATOMIC_SPECIES
Tb 158.93 Tb.upf
Pb 207.20 Pb.upf
O 16.00 O.upf
ATOMIC_POSITIONS angstrom
Tb 0.000 0.000 0.000
Tb 2.664 2.664 0.000
Tb 2.664 0.000 2.664
Tb 0.000 2.664 2.664
Pb 5.328 2.664 2.664
Pb 2.664 5.328 2.664
Pb 2.664 2.664 5.328
Pb 5.328 5.328 5.328
O 1.332 1.332 1.332
O 3.996 3.996 1.606
O 3.996 1.606 3.996
O 6.387 3.996 3.996
O 6.660 6.660 4.270
O 6.660 4.270 6.660
O 9.051 6.660 6.660
O 1.606 3.996 3.996
O 3.996 6.387 3.996
O 3.996 3.996 6.387
O 4.270 6.660 6.660
O 6.660 9.051 6.660
O 6.660 6.660 9.051
O 9.324 9.324 9.324
CELL_PARAMETERS angstrom
0.000 5.328 5.328
5.328 0.000 5.328
5.328 5.328 0.000
```


Arrangement ii

DFT (PBEsol) results for a relaxed structure of Tb2Pb2O7. Values from VASP.

Values from the calculation:
Volume   15.30 Å³ per atom
Space-group type   P4_12_12, No. 92
M_tot   0.00 Bohr magnetons per cell

The structure in Quantum ESPRESSO input format:
```
&SYSTEM
  ibrav = 0, nat = 44, ntyp = 3
/
ATOMIC_SPECIES
Tb 158.93 Tb.upf
Pb 207.20 Pb.upf
O 16.00 O.upf
ATOMIC_POSITIONS angstrom
Tb 0.900 2.592 4.956
Tb 1.045 4.537 8.137
Tb 2.592 0.900 7.769
Tb 2.737 6.229 10.950
Tb 4.537 1.045 4.587
Tb 4.682 6.374 1.406
Tb 6.229 2.737 1.775
Tb 6.374 4.682 11.319
Pb 0.822 6.371 1.256
Pb 0.903 6.452 5.106
Pb 2.734 2.815 10.800
Pb 2.815 2.734 1.925
Pb 4.459 4.540 8.288
Pb 4.540 4.459 4.437
Pb 6.371 0.822 11.469
Pb 6.452 0.903 7.619
O 0.518 6.574 11.593
O 0.696 2.362 7.319
O 0.700 6.756 7.495
O 0.941 2.398 2.694
O 1.239 4.578 5.876
O 1.275 4.333 10.501
O 1.455 5.819 3.181
O 2.182 2.182 0.000
O 2.362 0.696 5.406
O 2.398 0.941 10.031
O 2.696 6.035 0.487
O 2.937 3.119 8.411
O 2.941 5.999 8.587
O 3.119 2.937 4.314
O 4.155 4.337 10.676
O 4.333 1.275 2.224
O 4.337 4.155 2.049
O 4.578 1.239 6.849
O 4.876 6.333 3.668
O 4.912 6.578 11.768
O 5.092 5.092 6.362
O 5.819 1.455 9.544
O 5.999 2.941 4.138
O 6.035 2.696 12.238
O 6.333 4.876 9.057
O 6.574 0.518 1.132
O 6.578 4.912 0.957
O 6.756 0.700 5.230
CELL_PARAMETERS angstrom
7.274 0.000 0.000
0.000 7.274 0.000
0.000 0.000 12.725
```


Going by the energies, arrangement i is most stable and the next is 99 meV/atom up.